[1]
Entry from Alexandria via LeMat-Bulk: a relaxed structure of Dy3HoHg4 (PBE).

POSCAR file:
```
Dy3HoHg4
1.0
14.184 0.000 0.000
0.000 5.306 0.000
-1.830 0.000 5.691
Dy Ho Hg
6 2 8
direct
0.000 0.000 0.000 Dy
0.168 0.000 0.580 Dy
0.332 0.500 0.420 Dy
0.500 0.500 0.000 Dy
0.668 0.500 0.580 Dy
0.832 0.000 0.420 Dy
0.000 0.500 0.500 Ho
0.500 0.000 0.500 Ho
0.112 0.500 0.148 Hg
0.240 0.500 0.830 Hg
0.260 0.000 0.170 Hg
0.388 0.000 0.852 Hg
0.612 0.000 0.148 Hg
0.740 0.000 0.830 Hg
0.760 0.500 0.170 Hg
0.888 0.500 0.852 Hg
```

SG: C2/m (12)
DFT formation energy: -285 meV/atom
Energy relative to the lowest polymorph listed for this composition: 152 kJ/mol of formula units
Energy: -2.73 eV per atom
Total magnetic moment: 0.0000 μB per atom



[2]
Entry from Alexandria via LeMat-Bulk: a relaxed structure of Be4OsRh (PBE).

POSCAR file:
```
Be4OsRh
1.0
2.644 0.000 0.000
0.000 3.613 0.000
0.000 0.000 6.300
Be Os Rh
4 1 1
direct
0.000 0.000 0.166 Be
0.000 0.000 0.834 Be
0.000 0.500 0.333 Be
0.000 0.500 0.667 Be
0.500 0.000 0.500 Os
0.500 0.500 0.000 Rh
```

SG: Pmmm (47)
DFT formation energy: -368 meV/atom
Energy relative to the lowest polymorph listed for this composition: 0 kJ/mol of formula units
Energy: -5.95 eV per atom
Total magnetic moment: 0.0000 μB per atom